Computed, not measured: a geometry-optimized AgGe2PdO6 structure at the PBE-GGA level of DFT.

Values from the calculation:
electronic total energy	-5.62	eV per atom

Unit cell a=7.0714 b=7.0714 c=5.2731 alpha=96.84 beta=96.84 gamma=89.14
Element x y z (fractional)
Ag 0.0771 0.9229 0.7500
Ag 0.9229 0.0771 0.2500
Ge 0.2059 0.3963 0.7289
Ge 0.3963 0.2059 0.2289
Ge 0.6037 0.7941 0.7711
Ge 0.7941 0.6037 0.2711
Pd 0.2910 0.7090 0.2500
Pd 0.7090 0.2910 0.7500
O 0.0054 0.2447 0.6575
O 0.1622 0.6191 0.8935
O 0.2447 0.0054 0.1575
O 0.2922 0.4114 0.4140
O 0.3809 0.8378 0.6065
O 0.4114 0.2922 0.9140
O 0.5886 0.7078 0.0860
O 0.6191 0.1622 0.3935
O 0.7078 0.5886 0.5860
O 0.7553 0.9946 0.8425
O 0.8378 0.3809 0.1065
O 0.9946 0.7553 0.3425